{"formula": "VPO2F", "functional": "GGA+U", "state": "optimized geometry", "cell": [[3.537, 0.000, 0.000], [0.000, 3.537, 0.000], [0.000, 0.000, 4.887]], "species": ["V", "P", "O", "O", "F"], "fractional_positions": [[0.000, 0.000, 0.000], [0.500, 0.500, 0.500], [0.000, 0.500, 0.500], [0.500, 0.000, 0.500], [0.500, 0.500, 0.000]], "magmom_total_mub_per_fu": 3.42, "dos_at_fermi_per_ev_fu": 1.64, "crystal_system": "tetragonal", "final_energy_ev_per_fu": -28.7}